(1)
The following is a DFT calculation (PBE) of a geometry-optimized Sm7Dy3 structure.

Cell lengths 6.228, 11.129, 11.129 Å; angles 120.00, 90.00, 90.00 degrees
Atoms (fractional coordinates):
Sm1 0.962 0.667 0.333
Sm2 0.462 0.333 0.667
Sm3 0.876 0.883 0.766
Sm4 0.876 0.883 0.117
Sm5 0.876 0.234 0.117
Sm6 0.376 0.117 0.234
Sm7 0.376 0.117 0.883
Sm8 0.376 0.766 0.883
Sm9 0.243 0.472 0.944
Sm10 0.243 0.472 0.528
Sm11 0.243 0.056 0.528
Sm12 0.743 0.528 0.056
Sm13 0.743 0.528 0.472
Sm14 0.743 0.944 0.472
Dy1 0.863 0.217 0.434
Dy2 0.863 0.217 0.783
Dy3 0.863 0.566 0.783
Dy4 0.363 0.783 0.566
Dy5 0.363 0.783 0.217
Dy6 0.363 0.434 0.217

Calculated values
Energy relative to the lowest polymorph listed for this composition in meV/atom: 167.9
SG: P6_3mc (186)
ΔE_f in eV per atom: 0.1828


(2)
The following is a DFT calculation (PBE) of a geometry-optimized Co2SnBr structure.

Cell lengths 6.035, 6.035, 6.425 Å; angles 61.99, 61.99, 90.00 degrees
Atoms (fractional coordinates):
Co1 0.601 0.125 0.250
Co2 0.149 0.625 0.250
Co3 0.375 0.399 0.750
Co4 0.875 0.851 0.750
Sn1 0.000 0.000 0.000
Sn2 0.750 0.250 0.500
Br1 0.500 0.500 0.000
Br2 0.250 0.750 0.500

Calculated values
ΔE_f (raw) in kJ per mole of atoms: 53
Energy relative to the lowest polymorph listed for this composition in meV/atom: 0.0
SG: I-42d (122)


(3)
The following is a DFT calculation (PBE) of a geometry-optimized ThGa2Ni2 structure.

Cell lengths 5.521, 5.521, 7.161 Å; angles 101.59, 101.59, 118.69 degrees
Atoms (fractional coordinates):
Th1 0.875 0.625 0.750
Th2 0.125 0.375 0.250
Ga1 0.268 0.018 0.536
Ga2 0.518 0.768 0.036
Ga3 0.732 0.982 0.464
Ga4 0.482 0.232 0.964
Ni1 0.161 0.339 0.750
Ni2 0.411 0.089 0.250
Ni3 0.589 0.911 0.750
Ni4 0.839 0.661 0.250

Calculated values
Energy relative to the lowest polymorph listed for this composition in meV/atom: 125.5
SG: Fddd (70)
ΔE_f in eV per atom: -0.4593


(4)
The following is a DFT calculation (PBE) of a geometry-optimized KPtBr4 structure.

Cell lengths 7.364, 7.364, 9.999 Å; angles 73.04, 73.04, 63.28 degrees
Atoms (fractional coordinates):
K1 0.000 0.500 0.500
K2 0.500 0.000 0.000
Pt1 0.249 0.751 0.750
Pt2 0.751 0.249 0.250
Br1 0.874 0.923 0.172
Br2 0.574 0.628 0.829
Br3 0.426 0.372 0.171
Br4 0.923 0.874 0.672
Br5 0.077 0.126 0.328
Br6 0.372 0.426 0.671
Br7 0.628 0.574 0.329
Br8 0.126 0.077 0.828

Calculated values
ΔE_f (raw) in kJ per mole of atoms: -64
Energy relative to the lowest polymorph listed for this composition in meV/atom: 15.3
SG: C2/c (15)


(5)
The following is a DFT calculation (PBE) of a geometry-optimized P2IrS2 structure.

Cell lengths 4.308, 4.308, 4.390 Å; angles 90.00, 90.00, 90.00 degrees
Atoms (fractional coordinates):
P1 0.000 0.000 0.000
P2 0.000 0.000 0.500
S1 0.000 0.500 0.000
S2 0.500 0.000 0.000
Ir1 0.500 0.500 0.500

Calculated values
ΔE_f (raw) in kJ per mole of atoms: 107
Energy relative to the lowest polymorph listed for this composition in meV/atom: 250.2
SG: P4/mmm (123)


(6)
The following is a DFT calculation (PBE) of a geometry-optimized CdNi3S structure.

Cell lengths 4.176, 4.176, 4.176 Å; angles 90.00, 90.00, 90.00 degrees
Atoms (fractional coordinates):
Ni1 0.000 0.500 0.000
Ni2 0.000 0.000 0.500
Ni3 0.500 0.000 0.000
S1 0.000 0.000 0.000
Cd1 0.500 0.500 0.500

Calculated values
ΔE_f (raw) in kJ per mole of atoms: -8
Energy relative to the lowest polymorph listed for this composition in meV/atom: 0.0
SG: Pm-3m (221)


no.,spin magnetization (μB per atom),total DFT energy (no corrections) (eV for the cell shown),calculated volume (Å³ per cell)
1,0.00,-90.0,667.97
2,0.74,-35.4,174.94
3,0.00,-54.7,175.97
4,0.00,-35.6,454.95
5,0.00,-22.4,81.47
6,0.00,-22.8,72.85